i:
# HfCu3F, optimized geometry, DFT PBE-GGA
# Spin magnetization in μB per formula unit: 1.440
data_HfCu3F
_space_group_name_H-M_alt 'P m -3 m'
_space_group_IT_number 221
_space_group_name_Hall '-P 4 2 3'
_cell_length_a 4.205
_cell_length_b 4.205
_cell_length_c 4.205
_cell_angle_alpha 90.00
_cell_angle_beta 90.00
_cell_angle_gamma 90.00
loop_
_atom_site_label
_atom_site_type_symbol
_atom_site_fract_x
_atom_site_fract_y
_atom_site_fract_z
Hf1 Hf 0.000 0.000 0.000
Cu1 Cu 0.000 0.500 0.500
F1 F 0.500 0.500 0.500

=====

ii:
# HfCu3F, optimized geometry, DFT PBE-GGA
# Spin magnetization in μB per formula unit: 0.000
data_HfCu3F
_space_group_name_H-M_alt 'P m -3 m'
_space_group_IT_number 221
_space_group_name_Hall '-P 4 2 3'
_cell_length_a 4.982
_cell_length_b 4.982
_cell_length_c 4.982
_cell_angle_alpha 90.00
_cell_angle_beta 90.00
_cell_angle_gamma 90.00
loop_
_atom_site_label
_atom_site_type_symbol
_atom_site_fract_x
_atom_site_fract_y
_atom_site_fract_z
Hf1 Hf 0.000 0.000 0.000
Cu1 Cu 0.000 0.000 0.500
F1 F 0.500 0.500 0.500

=====

The computed energies, referenced to the most stable structure and given in eV/atom, are i 0.000; ii 0.913.

=====

i:
# HfCuF2, optimized geometry, DFT PBE-GGA
# Spin magnetization in μB per formula unit: 0.000
data_HfCuF2
_space_group_name_H-M_alt 'I -4 2 d'
_space_group_IT_number 122
_space_group_name_Hall 'I -4 2bw'
_cell_length_a 4.018
_cell_length_b 4.018
_cell_length_c 14.542
_cell_angle_alpha 90.00
_cell_angle_beta 90.00
_cell_angle_gamma 90.00
loop_
_atom_site_label
_atom_site_type_symbol
_atom_site_fract_x
_atom_site_fract_y
_atom_site_fract_z
Hf1 Hf 0.000 0.000 0.000
Cu1 Cu 0.000 0.000 0.500
F1 F 0.140 0.250 0.125

=====

ii:
# HfCuF2, optimized geometry, DFT PBE-GGA
# Spin magnetization in μB per formula unit: 0.000
data_HfCuF2
_space_group_name_H-M_alt 'F m -3 m'
_space_group_IT_number 225
_space_group_name_Hall '-F 4 2 3'
_cell_length_a 5.858
_cell_length_b 5.858
_cell_length_c 5.858
_cell_angle_alpha 90.00
_cell_angle_beta 90.00
_cell_angle_gamma 90.00
loop_
_atom_site_label
_atom_site_type_symbol
_atom_site_fract_x
_atom_site_fract_y
_atom_site_fract_z
Hf1 Hf 0.000 0.000 0.000
Cu1 Cu 0.000 0.000 0.500
F1 F 0.250 0.250 0.250

=====

iii:
# HfCuF2, optimized geometry, DFT PBE-GGA
# Spin magnetization in μB per formula unit: 0.000
data_HfCuF2
_space_group_name_H-M_alt 'R -3 m'
_space_group_IT_number 166
_space_group_name_Hall '-R 3 2"'
_cell_length_a 2.8432
_cell_length_b 2.8432
_cell_length_c 28.7103
_cell_angle_alpha 90.00
_cell_angle_beta 90.00
_cell_angle_gamma 120.00
loop_
_atom_site_label
_atom_site_type_symbol
_atom_site_fract_x
_atom_site_fract_y
_atom_site_fract_z
Hf1 Hf 0.0000 0.0000 0.0000
Cu1 Cu 0.0000 0.0000 0.5000
F1 F 0.0000 0.0000 0.3865

=====

The computed energies, referenced to the most stable structure and given in eV/atom, are i 0.057; ii 0.571; iii 0.000.

=====

i:
# Hf2CuF, optimized geometry, DFT PBE-GGA
# Spin magnetization in μB per formula unit: 0.000
data_Hf2CuF
_space_group_name_H-M_alt 'F m -3 m'
_space_group_IT_number 225
_space_group_name_Hall '-F 4 2 3'
_cell_length_a 6.359
_cell_length_b 6.359
_cell_length_c 6.359
_cell_angle_alpha 90.00
_cell_angle_beta 90.00
_cell_angle_gamma 90.00
loop_
_atom_site_label
_atom_site_type_symbol
_atom_site_fract_x
_atom_site_fract_y
_atom_site_fract_z
Hf1 Hf 0.250 0.250 0.250
Cu1 Cu 0.000 0.000 0.000
F1 F 0.000 0.000 0.500

=====

ii:
# Hf2CuF, optimized geometry, DFT PBE-GGA
# Spin magnetization in μB per formula unit: 0.000
data_Hf2CuF
_space_group_name_H-M_alt 'I -4 2 d'
_space_group_IT_number 122
_space_group_name_Hall 'I -4 2bw'
_cell_length_a 4.880
_cell_length_b 4.880
_cell_length_c 12.654
_cell_angle_alpha 90.00
_cell_angle_beta 90.00
_cell_angle_gamma 90.00
loop_
_atom_site_label
_atom_site_type_symbol
_atom_site_fract_x
_atom_site_fract_y
_atom_site_fract_z
Hf1 Hf 0.202 0.250 0.125
Cu1 Cu 0.000 0.000 0.500
F1 F 0.000 0.000 0.000

=====

The computed energies, referenced to the most stable structure and given in eV/atom, are i 0.000; ii 0.166.

=====

i:
# Cu3HgF8, optimized geometry, DFT PBE-GGA
# Spin magnetization in μB per formula unit: 3.036
data_Cu3HgF8
_space_group_name_H-M_alt 'P -3 m 1'
_space_group_IT_number 164
_space_group_name_Hall '-P 3 2"'
_cell_length_a 5.9020
_cell_length_b 5.9020
_cell_length_c 6.3265
_cell_angle_alpha 90.00
_cell_angle_beta 90.00
_cell_angle_gamma 120.00
loop_
_atom_site_label
_atom_site_type_symbol
_atom_site_fract_x
_atom_site_fract_y
_atom_site_fract_z
Cu1 Cu 0.0000 0.0000 0.0000
Cu2 Cu 0.3333 0.6667 0.2877
Hg1 Hg 0.0000 0.0000 0.5000
F1 F 0.1496 0.2992 0.2065
F2 F 0.3333 0.6667 0.5762

=====

ii:
# Cu3HgF8, optimized geometry, DFT PBE-GGA
# Spin magnetization in μB per formula unit: 3.022
data_Cu3HgF8
_space_group_name_H-M_alt 'P -1'
_space_group_IT_number 2
_cell_length_a 5.854
_cell_length_b 6.549
_cell_length_c 6.568
_cell_angle_alpha 115.23
_cell_angle_beta 116.30
_cell_angle_gamma 90.12
loop_
_space_group_symop_operation_xyz
'x,y,z'
'-x,-y,-z'
loop_
_atom_site_label
_atom_site_type_symbol
_atom_site_fract_x
_atom_site_fract_y
_atom_site_fract_z
Cu1 Cu 0.000 0.000 0.000
Cu2 Cu 0.000 0.000 0.500
Cu3 Cu 0.500 0.000 0.000
Hg1 Hg 0.000 0.500 0.500
F1 F 0.202 0.194 0.457
F2 F 0.239 0.791 0.978
F3 F 0.241 0.802 0.538
F4 F 0.248 0.191 0.994

=====

The computed energies, referenced to the most stable structure and given in eV/atom, are i 0.104; ii 0.000.

=====

i:
# Cu2Hg2F7, optimized geometry, DFT PBE-GGA
# Spin magnetization in μB per formula unit: 1.037
data_Cu2Hg2F7
_space_group_name_H-M_alt 'C 1 2/m 1'
_space_group_IT_number 12
_cell_length_a 6.806
_cell_length_b 9.870
_cell_length_c 5.727
_cell_angle_alpha 90.00
_cell_angle_beta 94.17
_cell_angle_gamma 90.00
loop_
_space_group_symop_operation_xyz
'x,y,z'
'-x,-y,-z'
'-x,y,-z'
'x,-y,z'
'x+1/2,y+1/2,z'
'-x+1/2,-y+1/2,-z'
'-x+1/2,y+1/2,-z'
'x+1/2,-y+1/2,z'
loop_
_atom_site_label
_atom_site_type_symbol
_atom_site_fract_x
_atom_site_fract_y
_atom_site_fract_z
Cu1 Cu 0.236 0.000 0.091
Hg1 Hg 0.000 0.193 0.500
F1 F 0.000 0.500 0.000
F2 F 0.046 0.000 0.779
F3 F 0.230 0.323 0.719

=====

ii:
# Cu2Hg2F7, optimized geometry, DFT PBE-GGA
# Spin magnetization in μB per formula unit: 1.821
data_Cu2Hg2F7
_space_group_name_H-M_alt 'C 1 2/m 1'
_space_group_IT_number 12
_cell_length_a 8.639
_cell_length_b 6.476
_cell_length_c 5.302
_cell_angle_alpha 90.00
_cell_angle_beta 92.69
_cell_angle_gamma 90.00
loop_
_space_group_symop_operation_xyz
'x,y,z'
'-x,-y,-z'
'-x,y,-z'
'x,-y,z'
'x+1/2,y+1/2,z'
'-x+1/2,-y+1/2,-z'
'-x+1/2,y+1/2,-z'
'x+1/2,-y+1/2,z'
loop_
_atom_site_label
_atom_site_type_symbol
_atom_site_fract_x
_atom_site_fract_y
_atom_site_fract_z
Cu1 Cu 0.242 0.000 0.035
Hg1 Hg 0.000 0.212 0.500
F1 F 0.000 0.000 0.000
F2 F 0.057 0.500 0.756
F3 F 0.221 0.277 0.229

=====

The computed energies, referenced to the most stable structure and given in eV/atom, are i 0.000; ii 0.046.